Entry 1:
Here is crystalline Al3C at its relaxed geometry from the Alexandria database. Energies are from GGA-PBE.

Output
formation energy from the elements = 0.258 eV/atom
crystal system = tetragonal
spin magnetization = 0.00 μB/f.u.
uncorrected energy = -4.85 eV per atom
offset from the most stable computed form = 0.93 eV per formula unit

a = 3.2717 Å, b = 3.2725 Å, c = 6.5399 Å
α = 90.00°, β = 90.00°, γ = 90.00°
Atoms (fractional coordinates):
Al: 0.5000 0.0000 0.5417
Al: 0.5000 0.5000 0.8851
Al: 0.0000 0.0000 0.1982
C: 0.0000 0.5000 0.0417

=====

Entry 2:
Here is crystalline BeTl2Au at its relaxed geometry from the Alexandria database. Energies are from GGA-PBE.

Output
formation energy from the elements = 0.116 eV/atom
crystal system = monoclinic
spin magnetization = 0.00 μB/f.u.
uncorrected energy = -2.82 eV per atom
offset from the most stable computed form = 0.09 eV per formula unit

a = 4.1971 Å, b = 4.1971 Å, c = 7.4489 Å
α = 75.66°, β = 75.66°, γ = 49.49°
Atoms (fractional coordinates):
Tl: 0.2340 0.2340 0.3115
Tl: 0.0592 0.0592 0.9362
Au: 0.4507 0.4507 0.6210
Be: 0.7561 0.7561 0.6314

=====

Entry 3:
Here is crystalline Ta2FeSe at its relaxed geometry from the Alexandria database. Energies are from GGA-PBE.

Output
energy relative to the elements, uncorrected = 2.09 eV per formula unit
crystal system = cubic
spin magnetization = 1.28 μB/f.u.
uncorrected energy = -8.39 eV per atom

a = 4.5158 Å, b = 4.5158 Å, c = 4.5158 Å
α = 60.00°, β = 60.00°, γ = 60.00°
Atoms (fractional coordinates):
Se: 0.7500 0.7500 0.7500
Ta: 0.2500 0.2500 0.2500
Fe: 0.5000 0.5000 0.5000
Ta: 0.0000 0.0000 0.0000

=====

Entry 4:
Here is crystalline Mg4CoPb at its relaxed geometry from the Alexandria database. Energies are from GGA-PBE.

Output
formation energy from the elements = 0.362 eV/atom
crystal system = cubic
spin magnetization = 0.91 μB/f.u.
uncorrected energy = -2.50 eV per atom
offset from the most stable computed form = 2.31 eV per formula unit

a = 5.6617 Å, b = 5.6617 Å, c = 5.6617 Å
α = 60.00°, β = 60.00°, γ = 60.00°
Atoms (fractional coordinates):
Pb: 0.7500 0.7500 0.7500
Co: 0.0000 0.0000 0.0000
Mg: 0.3741 0.8777 0.3741
Mg: 0.3741 0.3741 0.3741
Mg: 0.8777 0.3741 0.3741
Mg: 0.3741 0.3741 0.8777

=====

Entry 5:
Here is crystalline MgH5Pd5 at its relaxed geometry from the Alexandria database. Energies are from GGA-PBE.

Output
crystal system = triclinic
spin magnetization = 0.00 μB/f.u.
uncorrected energy = -4.23 eV per atom

a = 5.7891 Å, b = 5.0240 Å, c = 5.6318 Å
α = 118.66°, β = 124.03°, γ = 90.24°
Atoms (fractional coordinates):
H: 0.2653 0.6069 0.3432
H: 0.7537 0.4422 0.2210
Pd: 0.4606 0.0471 0.7687
Pd: 0.6109 0.5083 0.4558
Pd: 0.9685 0.2467 0.8334
H: 0.7035 0.1289 0.3905
H: 0.1159 0.1013 0.6084
Pd: 0.1243 0.3985 0.4708
Mg: 0.2281 0.8706 0.0801
H: 0.5136 0.3958 0.6874
Pd: 0.7556 0.7538 0.1408

=====

Entry 6:
Here is crystalline Rb2NaNb6P3O24 at its relaxed geometry from the Alexandria database. Energies are from GGA-PBE.

Output
energy relative to the elements, uncorrected = -89.20 eV per formula unit
crystal system = monoclinic
spin magnetization = 0.00 μB/f.u.
uncorrected energy = -8.00 eV per atom

a = 8.5829 Å, b = 8.5829 Å, c = 8.5937 Å
α = 75.43°, β = 75.43°, γ = 104.25°
Atoms (fractional coordinates):
O: 0.0539 0.7373 0.1368
O: 0.6281 0.0777 0.7885
Rb: 0.9017 0.5968 0.7911
O: 0.7386 0.8587 0.9431
Nb: 0.1444 0.3426 0.5384
O: 0.0851 0.2139 0.3692
O: 0.5276 0.0021 0.5228
O: 0.2125 0.6316 0.9175
O: 0.2946 0.1900 0.5690
O: 0.8638 0.0569 0.2647
O: 0.5001 0.6531 0.6511
O: 0.1413 0.2614 0.0569
O: 0.7079 0.5696 0.1866
Rb: 0.4032 0.0983 0.2089
O: 0.2627 0.9461 0.8632
O: 0.5724 0.8163 0.2886
Nb: 0.3468 0.4678 0.8492
Nb: 0.4651 0.1481 0.6564
O: 0.3469 0.4999 0.3489
P: 0.0027 0.2296 0.2285
O: 0.9223 0.3719 0.2115
O: 0.9979 0.4724 0.4772
O: 0.4744 0.5256 0.0000
Nb: 0.6574 0.8556 0.4616
O: 0.7861 0.9149 0.6308
Nb: 0.5322 0.6532 0.1508
O: 0.9431 0.1362 0.7353
O: 0.4304 0.2921 0.8134
Na: 0.9969 0.0031 0.0000
O: 0.6538 0.3462 0.5000
P: 0.2278 0.7722 0.0000
O: 0.3684 0.7875 0.0825
O: 0.1837 0.4276 0.7114
P: 0.7704 0.9973 0.7715
O: 0.8100 0.7054 0.4310
Nb: 0.8519 0.5349 0.3436